A geometry-optimized Dy3TmSc6 structure, computed with GGA-PBE.

Properties
**Theoretical density**: 5.5 Mg/m³
**Polymorph energy (0 for the lowest one)**: 244 meV/atom
**Formation enthalpy at 0 K**: 0.402 eV/atom
**Total magnetization**: 0.001 μB/cell

abc: 9.231 9.231 6.522
angles: 44.96 44.96 60.00
Positions (direct):
Sc: 0.434 0.767 0.702
Sc: 0.266 0.932 0.201
Sc: 0.767 0.098 0.702
Sc: 0.098 0.434 0.702
Sc: 0.601 0.266 0.201
Sc: 0.932 0.601 0.201
Tm: 0.851 0.851 0.448
Dy: 0.351 0.351 0.948
Dy: 0.101 0.101 0.698
Dy: 0.600 0.600 0.199